Below is a geometry-optimized GaBi structure, with properties calculated at the PBEsol level.

a b c (Å): 4.4819 4.4819 4.4819
angles (deg): 60.00 60.00 60.00
With the nearest neighbours (Å) after each atom.
Atoms (fractional coordinates):
Bi1 0.0000 0.0000 0.0000  4 Ga 2.74
Ga1 0.7500 0.7500 0.7500  4 Bi 2.74

space group	F-43m, No. 216
total energy	-7.52	eV per formula unit
M_tot	0.00	μB/f.u.
V	64	Å³ per cell
formation energy from the elements	54	meV/atom